(1)
Computed, not measured: a relaxed structure of CsBaPd3 at the PBE level of DFT.

Final energy in eV per atom: -2.98
Formation energy in kJ/mol of formula units: 334

Lattice parameters (Å, degrees): 5.4690 5.4690 5.4690 90.00 90.00 90.00
Space group Pm-3m (No. 221)
Unique sites:
Cs: 0.0000 0.0000 0.0000 x1
Ba: 0.5000 0.5000 0.5000 x1
Pd: 0.0000 0.0000 0.5000 x3

---

(2)
Computed, not measured: a relaxed structure of CsBaPd3 at the PBE level of DFT.

Final energy in eV per atom: -3.12
Formation energy in kJ/mol of formula units: 266

Lattice parameters (Å, degrees): 5.7498 5.7498 5.7498 90.00 90.00 90.00
Space group Pm-3m (No. 221)
Unique sites:
Cs: 0.0000 0.0000 0.0000 x1
Ba: 0.5000 0.5000 0.5000 x1
Pd: 0.0000 0.5000 0.5000 x3

---

(3)
Computed, not measured: a relaxed structure of CsBa2Pd2 at the PBE level of DFT.

Final energy in eV per atom: -3.18
Formation energy in kJ/mol of formula units: -80

Lattice parameters (Å, degrees): 5.9103 5.9103 13.4431 90.00 90.00 90.00
Space group I4/mmm (No. 139)
Unique sites:
Cs: 0.0000 0.0000 0.0000 x2
Ba: 0.0000 0.0000 0.3229 x4
Pd: 0.0000 0.5000 0.2500 x4

---

(4)
Computed, not measured: a relaxed structure of CsBa3Pd at the PBE level of DFT.

Final energy in eV per atom: -2.54
Formation energy in kJ/mol of formula units: -86

Lattice parameters (Å, degrees): 6.5723 6.5723 6.5723 90.00 90.00 90.00
Space group Pm-3m (No. 221)
Unique sites:
Cs: 0.0000 0.0000 0.0000 x1
Ba: 0.0000 0.5000 0.5000 x3
Pd: 0.5000 0.5000 0.5000 x1

---

(5)
Computed, not measured: a relaxed structure of CsBa2Pd at the PBE level of DFT.

Final energy in eV per atom: -2.76
Formation energy in kJ/mol of formula units: -111

Lattice parameters (Å, degrees): 4.7567 4.7567 36.1916 90.00 90.00 120.00
Space group R3m (No. 160, hexagonal axes)
Unique sites:
Cs: 0.0000 0.0000 0.0000 x3
Ba: 0.0000 0.0000 0.2137 x3
Ba: 0.0000 0.0000 0.4543 x3
Pd: 0.0000 0.0000 0.8341 x3

---

(6)
Computed, not measured: a relaxed structure of CsBa2Pd at the PBE level of DFT.

Final energy in eV per atom: -2.76
Formation energy in kJ/mol of formula units: -112

Lattice parameters (Å, degrees): 8.2514 4.7535 12.0357 90.00 90.58 90.00
Space group C2/m (No. 12)
Unique sites:
Cs: 0.0000 0.0000 0.0000 x2
Ba: 0.1689 0.5000 0.6394 x4
Pd: 0.0000 0.0000 0.5000 x2

---

(7)
Computed, not measured: a relaxed structure of CsBa2Pd2 at the PBE level of DFT.

Final energy in eV per atom: -3.27
Formation energy in kJ/mol of formula units: -124

Lattice parameters (Å, degrees): 9.2390 9.2390 4.2485 90.00 90.00 90.00
Space group P4/mbm (No. 127)
Unique sites:
Cs: 0.0000 0.0000 0.0000 x2
Ba: 0.1477 0.3523 0.5000 x4
Pd: 0.1331 0.6331 0.0000 x4

---

(8)
Computed, not measured: a relaxed structure of CsBa2Pd2 at the PBE level of DFT.

Final energy in eV per atom: -3.19
Formation energy in kJ/mol of formula units: -82

Lattice parameters (Å, degrees): 5.5977 5.5977 12.1835 90.00 90.00 90.00
Space group I4/mmm (No. 139)
Unique sites:
Cs: 0.0000 0.0000 0.0000 x2
Ba: 0.0000 0.5000 0.2500 x4
Pd: 0.0000 0.0000 0.3871 x4

---

(9)
Computed, not measured: a relaxed structure of Cs3BaPd at the PBE level of DFT.

Final energy in eV per atom: -1.70
Formation energy in kJ/mol of formula units: 115

Lattice parameters (Å, degrees): 7.0177 7.0177 7.0177 90.00 90.00 90.00
Space group Pm-3m (No. 221)
Unique sites:
Cs: 0.0000 0.0000 0.5000 x3
Ba: 0.5000 0.5000 0.5000 x1
Pd: 0.0000 0.0000 0.0000 x1

---

(10)
Computed, not measured: a relaxed structure of CsBa2Pd at the PBE level of DFT.

Final energy in eV per atom: -2.34
Formation energy in kJ/mol of formula units: 52

Lattice parameters (Å, degrees): 8.6934 8.6934 8.6934 90.00 90.00 90.00
Space group Fm-3m (No. 225)
Unique sites:
Cs: 0.0000 0.0000 0.0000 x4
Ba: 0.2500 0.2500 0.2500 x8
Pd: 0.0000 0.0000 0.5000 x4

---

(11)
Computed, not measured: a relaxed structure of CsBaSr2Pd at the PBE level of DFT.

Final energy in eV per atom: -2.31
Formation energy in kJ/mol of formula units: -23

Lattice parameters (Å, degrees): 6.1351 6.1351 6.9209 90.00 90.00 90.00
Space group P4/mmm (No. 123)
Unique sites:
Cs: 0.0000 0.0000 0.0000 x1
Ba: 0.5000 0.5000 0.0000 x1
Sr: 0.0000 0.5000 0.5000 x2
Pd: 0.0000 0.0000 0.5000 x1

---

(12)
Computed, not measured: a relaxed structure of CsBa2SrPd at the PBE level of DFT.

Final energy in eV per atom: -2.50
Formation energy in kJ/mol of formula units: -90

Lattice parameters (Å, degrees): 6.5223 6.5223 6.3459 90.00 90.00 90.00
Space group P4/mmm (No. 123)
Unique sites:
Cs: 0.0000 0.0000 0.0000 x1
Ba: 0.0000 0.5000 0.5000 x2
Sr: 0.5000 0.5000 0.0000 x1
Pd: 0.5000 0.5000 0.5000 x1

---

(13)
Computed, not measured: a relaxed structure of CsBaSr2Pd at the PBE level of DFT.

Final energy in eV per atom: -2.46
Formation energy in kJ/mol of formula units: -93

Lattice parameters (Å, degrees): 6.3025 6.3025 6.4742 90.00 90.00 90.00
Space group P4/mmm (No. 123)
Unique sites:
Cs: 0.0000 0.0000 0.0000 x1
Ba: 0.5000 0.5000 0.0000 x1
Sr: 0.0000 0.5000 0.5000 x2
Pd: 0.5000 0.5000 0.5000 x1

---

(14)
Computed, not measured: a relaxed structure of CsBaTiPd2 at the PBE level of DFT.

Final energy in eV per atom: -3.84
Formation energy in kJ/mol of formula units: 178

Lattice parameters (Å, degrees): 5.0402 5.0402 5.6867 90.00 90.00 90.00
Space group P4/mmm (No. 123)
Unique sites:
Cs: 0.0000 0.0000 0.0000 x1
Ba: 0.5000 0.5000 0.0000 x1
Ti: 0.0000 0.0000 0.5000 x1
Pd: 0.0000 0.5000 0.5000 x2

---

(15)
Computed, not measured: a relaxed structure of CsBa2TlPd at the PBE level of DFT.

Final energy in eV per atom: -2.63
Formation energy in kJ/mol of formula units: -88

Lattice parameters (Å, degrees): 6.3246 6.3246 5.5610 90.00 90.00 90.00
Space group P4/mmm (No. 123)
Unique sites:
Cs: 0.0000 0.0000 0.0000 x1
Ba: 0.0000 0.5000 0.5000 x2
Tl: 0.5000 0.5000 0.0000 x1
Pd: 0.5000 0.5000 0.5000 x1

---

(16)
Computed, not measured: a relaxed structure of CsBaTl2Pd at the PBE level of DFT.

Final energy in eV per atom: -2.70
Formation energy in kJ/mol of formula units: -78

Lattice parameters (Å, degrees): 5.6727 5.6727 5.8697 90.00 90.00 90.00
Space group P4/mmm (No. 123)
Unique sites:
Cs: 0.0000 0.0000 0.0000 x1
Ba: 0.5000 0.5000 0.0000 x1
Tl: 0.0000 0.5000 0.5000 x2
Pd: 0.5000 0.5000 0.5000 x1

---

(17)
Computed, not measured: a relaxed structure of CsBaYPd2 at the PBE level of DFT.

Final energy in eV per atom: -2.96
Formation energy in kJ/mol of formula units: 468

Lattice parameters (Å, degrees): 5.4297 5.4297 6.1020 90.00 90.00 90.00
Space group P4/mmm (No. 123)
Unique sites:
Cs: 0.0000 0.0000 0.0000 x1
Ba: 0.0000 0.0000 0.5000 x1
Y: 0.5000 0.5000 0.5000 x1
Pd: 0.0000 0.5000 0.0000 x2

---

(18)
Computed, not measured: a relaxed structure of Cs2BaPt at the PBE level of DFT.

Final energy in eV per atom: -2.45
Formation energy in kJ/mol of formula units: -11

Lattice parameters (Å, degrees): 12.9139 12.9139 6.1115 90.00 90.00 90.00
Space group I-42d (No. 122)
Unique sites:
Cs: 0.1071 0.7500 0.1250 x8
Ba: 0.0000 0.0000 0.5000 x4
Pt: 0.0000 0.0000 0.0000 x4

---

(19)
Computed, not measured: a relaxed structure of Cs2Ba2Pt at the PBE level of DFT.

Final energy in eV per atom: -1.98
Formation energy in kJ/mol of formula units: 161

Lattice parameters (Å, degrees): 4.6183 4.6183 24.5758 90.00 90.00 90.00
Space group I4/mmm (No. 139)
Unique sites:
Cs: 0.0000 0.5000 0.2500 x4
Ba: 0.0000 0.0000 0.0717 x4
Pt: 0.0000 0.0000 0.5000 x2

---

(20)
Computed, not measured: a relaxed structure of Cs3BaPt at the PBE level of DFT.

Final energy in eV per atom: -1.89
Formation energy in kJ/mol of formula units: 103

Lattice parameters (Å, degrees): 6.9060 6.9060 6.9060 90.00 90.00 90.00
Space group Pm-3m (No. 221)
Unique sites:
Cs: 0.0000 0.0000 0.5000 x3
Ba: 0.5000 0.5000 0.5000 x1
Pt: 0.0000 0.0000 0.0000 x1

---

(21)
Computed, not measured: a relaxed structure of CsBaPt2 at the PBE level of DFT.

Final energy in eV per atom: -3.66
Formation energy in kJ/mol of formula units: 21

Lattice parameters (Å, degrees): 7.8890 7.8890 7.8890 90.00 90.00 90.00
Space group Fm-3m (No. 225)
Unique sites:
Cs: 0.0000 0.0000 0.0000 x4
Ba: 0.0000 0.0000 0.5000 x4
Pt: 0.2500 0.2500 0.2500 x8

---

(22)
Computed, not measured: a relaxed structure of CsBaPt5 at the PBE level of DFT.

Final energy in eV per atom: -4.91
Formation energy in kJ/mol of formula units: -131

Lattice parameters (Å, degrees): 9.4767 5.4365 13.4389 90.00 90.00 90.00
Space group Pnma (No. 62)
Unique sites:
Cs: 0.1841 0.2500 0.0774 x4
Ba: 0.1981 0.7500 0.8695 x4
Pt: 0.0022 0.2500 0.8458 x4
Pt: 0.0053 0.0016 0.6717 x8
Pt: 0.0109 0.2500 0.4963 x4
Pt: 0.2467 0.7500 0.2487 x4

---

(23)
Computed, not measured: a relaxed structure of Cs2Ba4Pt at the PBE level of DFT.

Final energy in eV per atom: -2.38
Formation energy in kJ/mol of formula units: -121

Lattice parameters (Å, degrees): 6.4156 6.4156 25.0599 90.00 90.00 90.00
Space group I4/mmm (No. 139)
Unique sites:
Cs: 0.0000 0.0000 0.1789 x4
Ba: 0.0000 0.0000 0.3786 x4
Ba: 0.0000 0.5000 0.0000 x4
Pt: 0.0000 0.0000 0.5000 x2

---

(24)
Computed, not measured: a relaxed structure of Cs2Ba2Pt at the PBE level of DFT.

Final energy in eV per atom: -1.99
Formation energy in kJ/mol of formula units: 157

Lattice parameters (Å, degrees): 8.5637 8.5637 7.1635 90.00 90.00 90.00
Space group P4/mbm (No. 127)
Unique sites:
Cs: 0.1530 0.3470 0.0000 x4
Ba: 0.1942 0.6942 0.5000 x4
Pt: 0.0000 0.0000 0.0000 x2

---

(25)
Computed, not measured: a relaxed structure of Cs2BaPt at the PBE level of DFT.

Final energy in eV per atom: -2.03
Formation energy in kJ/mol of formula units: 149

Lattice parameters (Å, degrees): 8.6696 8.6696 8.6696 90.00 90.00 90.00
Space group Fm-3m (No. 225)
Unique sites:
Cs: 0.2500 0.2500 0.2500 x8
Ba: 0.0000 0.0000 0.0000 x4
Pt: 0.0000 0.0000 0.5000 x4

---

(26)
Computed, not measured: a relaxed structure of Cs2BaSbPt at the PBE level of DFT.

Final energy in eV per atom: -2.68
Formation energy (no corrections) in eV per atom: 0.075

Lattice parameters (Å, degrees): 7.4851 7.4851 4.9825 90.00 90.00 90.00
Space group P4/mmm (No. 123)
Unique sites:
Cs: 0.0000 0.5000 0.0000 x2
Ba: 0.0000 0.0000 0.5000 x1
Sb: 0.5000 0.5000 0.0000 x1
Pt: 0.5000 0.5000 0.5000 x1

---

(27)
Computed, not measured: a relaxed structure of CsBaScPt2 at the PBE level of DFT.

Final energy in eV per atom: -3.25
Formation energy in kJ/mol of formula units: 475

Lattice parameters (Å, degrees): 5.8115 5.8115 5.6651 90.00 90.00 90.00
Space group P4/mmm (No. 123)
Unique sites:
Cs: 0.0000 0.0000 0.0000 x1
Ba: 0.5000 0.5000 0.5000 x1
Sc: 0.5000 0.5000 0.0000 x1
Pt: 0.0000 0.5000 0.5000 x2